Entry from Alexandria via LeMat-Bulk: an optimized crystal structure of Li3VFe3O8 (GGA+U).

Cell and atoms, written as POSCAR:
```
Li3VFe3O8
1.0
5.163 -2.912 0.000
5.163 2.912 0.000
-3.376 0.000 4.901
Li V Fe O
3 1 3 8
direct
0.000 0.000 0.000
0.000 0.500 0.000
0.500 0.000 0.000
0.500 0.500 0.500
0.000 0.000 0.500
0.000 0.500 0.500
0.500 0.000 0.500
0.229 0.229 0.712
0.245 0.740 0.717
0.260 0.755 0.283
0.262 0.262 0.271
0.738 0.738 0.729
0.740 0.245 0.717
0.755 0.260 0.283
0.771 0.771 0.288
```

Properties
Total energy: -6.3162 eV per atom
Symmetry: C2/m (12)
Magnetization: 12.000 Bohr magnetons per cell
Distance to the lowest polymorph of the same formula: 0.070 eV/atom